[1]
CaLaTeN2 | PBE | relaxed

## Properties
Raw formation energy ... -0.0163 eV/atom
Energy above the lowest structure with this stoichiometry ... 0 meV per atom
Crystal system ... tetragonal
Total magnetic moment ... 0.59 μB/cell

a b c (Å): 4.435 4.435 6.682
angles (deg): 90.00 90.00 90.00
Space group P4/mmm (No. 123)
Asymmetric unit:
Ca 0.000 0.000 0.000
La 0.500 0.500 0.500
Te 0.500 0.500 0.000
N 0.000 0.500 0.500

[2]
CaLaTe2N | PBE | relaxed

## Properties
Raw formation energy ... -0.3107 eV/atom
Energy above the lowest structure with this stoichiometry ... 167 meV per atom
Crystal system ... tetragonal
Total magnetic moment ... 2.02 μB/cell

a b c (Å): 5.843 5.843 4.426
angles (deg): 90.00 90.00 90.00
Space group P4/mmm (No. 123)
Asymmetric unit:
Ca 0.000 0.000 0.000
La 0.500 0.500 0.500
Te 0.000 0.500 0.000
N 0.000 0.000 0.500

[3]
Ca2LaTeN | PBE | relaxed

## Properties
Raw formation energy ... -0.9850 eV/atom
Crystal system ... tetragonal
Total magnetic moment ... 0.01 μB/cell

a b c (Å): 4.887 4.887 5.100
angles (deg): 90.00 90.00 90.00
Space group P4/mmm (No. 123)
Asymmetric unit:
Ca 0.000 0.500 0.000
La 0.000 0.000 0.500
Te 0.500 0.500 0.500
N 0.000 0.000 0.000

[4]
Ca2La4Te3N2 | PBE | relaxed

## Properties
Raw formation energy ... -1.2849 eV/atom
Crystal system ... tetragonal
Total magnetic moment ... 0.00 μB/cell

a b c (Å): 4.824 4.824 26.683
angles (deg): 90.00 90.00 90.00
Space group I4/mmm (No. 139)
Asymmetric unit:
Ca 0.000 0.000 0.195
La 0.000 0.500 0.086
Te 0.000 0.000 0.316
Te 0.000 0.000 0.500
N 0.000 0.000 0.110

[5]
CaLaTeN2 | PBE | relaxed

## Properties
Raw formation energy ... 0.3527 eV/atom
Energy above the lowest structure with this stoichiometry ... 369 meV per atom
Crystal system ... tetragonal
Total magnetic moment ... 3.01 μB/cell

a b c (Å): 4.601 4.601 5.786
angles (deg): 90.00 90.00 90.00
Space group P4/mmm (No. 123)
Asymmetric unit:
Ca 0.000 0.000 0.000
La 0.500 0.500 0.500
Te 0.000 0.000 0.500
N 0.000 0.500 0.000

[6]
CaLaTh2N4 | PBE | relaxed

## Properties
Raw formation energy ... -1.4472 eV/atom
Crystal system ... monoclinic
Total magnetic moment ... 0.00 μB/cell

a b c (Å): 6.322 3.690 6.366
angles (deg): 90.00 109.45 90.00
Space group P2/m (No. 10)
Asymmetric unit:
Ca 0.000 0.000 0.000
La 0.000 0.500 0.500
Th 0.500 0.000 0.500
Th 0.500 0.500 0.000
N 0.271 0.000 0.757
N 0.276 0.500 0.261

[7]
CaLa3Th2N6 | PBE | relaxed

## Properties
Raw formation energy ... -1.4099 eV/atom
Crystal system ... monoclinic
Total magnetic moment ... 0.00 μB/cell

a b c (Å): 15.993 3.711 7.407
angles (deg): 90.00 103.81 90.00
Space group C2/m (No. 12)
Asymmetric unit:
Ca 0.000 0.000 0.000
La 0.000 0.000 0.500
La 0.163 0.500 0.837
Th 0.164 0.500 0.327
N 0.007 0.500 0.261
N 0.170 0.000 0.097
N 0.172 0.000 0.569

[8]
CaLaTl2N | PBE | relaxed

## Properties
Raw formation energy ... 1.5239 eV/atom
Crystal system ... tetragonal
Total magnetic moment ... 2.13 μB/cell

a b c (Å): 5.733 5.733 6.197
angles (deg): 90.00 90.00 90.00
Space group P4/mmm (No. 123)
Asymmetric unit:
Ca 0.000 0.000 0.000
La 0.000 0.000 0.500
Tl 0.000 0.500 0.000
N 0.500 0.500 0.500

[9]
Ca2LaTlN | PBE | relaxed

## Properties
Raw formation energy ... -0.7400 eV/atom
Crystal system ... tetragonal
Total magnetic moment ... 0.00 μB/cell

a b c (Å): 5.007 5.007 5.043
angles (deg): 90.00 90.00 90.00
Space group P4/mmm (No. 123)
Asymmetric unit:
Ca 0.000 0.500 0.000
La 0.000 0.000 0.500
Tl 0.500 0.500 0.500
N 0.000 0.000 0.000

[10]
Ca3LaU2N6 | PBE | relaxed

## Properties
Raw formation energy ... -1.2843 eV/atom
Crystal system ... monoclinic
Total magnetic moment ... 5.81 μB/cell

a b c (Å): 15.423 3.556 7.082
angles (deg): 90.00 102.24 90.00
Space group C2/m (No. 12)
Asymmetric unit:
Ca 0.000 0.000 0.000
Ca 0.170 0.500 0.335
La 0.000 0.000 0.500
U 0.167 0.500 0.835
N 0.023 0.500 0.766
N 0.169 0.000 0.619
N 0.179 0.000 0.067

[11]
CaLa4U3N8 | PBE | relaxed

## Properties
Raw formation energy ... -1.3596 eV/atom
Crystal system ... trigonal
Total magnetic moment ... 4.20 μB/cell

a b c (Å): 7.0820 7.0820 17.8161
angles (deg): 90.00 90.00 120.00
Space group R-3m (No. 166, hexagonal axes)
Asymmetric unit:
Ca 0.0000 0.0000 0.0000
La 0.0000 0.0000 0.5000
La 0.0000 0.5000 0.5000
U 0.0000 0.5000 0.0000
N 0.0000 0.0000 0.2675
N 0.0263 0.5131 0.2668

[12]
CaLa2VN4 | PBE | relaxed

## Properties
Raw formation energy ... -1.0923 eV/atom
Crystal system ... orthorhombic
Total magnetic moment ... 1.15 μB/cell

a b c (Å): 3.521 12.129 12.658
angles (deg): 90.00 90.00 90.00
Space group Cmcm (No. 63)
Asymmetric unit:
Ca 0.000 0.109 0.250
La 0.000 0.368 0.041
V 0.000 0.178 0.750
N 0.000 0.000 0.000
N 0.000 0.269 0.639
N 0.000 0.398 0.250

- The lowest raw formation energy belongs to which entry?
  CaLaTh2N4